Below is a relaxed NaCrAsO6 crystal, with properties calculated at the PBE with a Hubbard U level. Values from VASP.

## Properties
For the calculated density, the calculation gives 4.10 g cm⁻³. As for the final energy: -5.840 eV per atom. For the density of states at the Fermi level, the calculation gives 0.38 states/eV/atom. The magnetization comes out at 0.00 μB/atom.

The structure in Quantum ESPRESSO input format:
```
&SYSTEM
  ibrav = 0, nat = 18, ntyp = 4
/
ATOMIC_SPECIES
Na 22.99 Na.upf
Cr 52.00 Cr.upf
As 74.92 As.upf
O 16.00 O.upf
ATOMIC_POSITIONS angstrom
Na 0.000 0.000 0.000
Na 2.336 2.336 4.561
Cr 0.000 0.000 5.994
Cr 2.336 2.336 1.433
As 0.000 0.000 3.118
As 2.336 2.336 7.680
O 0.822 0.822 4.553
O 1.072 1.072 1.807
O 1.096 1.096 7.407
O 1.240 3.432 2.846
O 1.265 3.408 6.369
O 1.514 3.159 9.115
O 3.159 1.514 9.115
O 3.408 1.265 6.369
O 3.432 1.240 2.846
O 3.576 3.576 7.407
O 3.601 3.601 1.807
O 3.850 3.850 4.553
CELL_PARAMETERS angstrom
4.673 0.000 0.000
0.000 4.673 0.000
0.000 0.000 9.123
```